# CsTmScS3, optimized geometry, DFT GGA-PBE
data_CsTmScS3
_chemical_formula_sum 'Cs2 Tm2 Sc2 S6'
_cell_length_a 9.240
_cell_length_b 4.208
_cell_length_c 10.227
_cell_angle_alpha 90.00
_cell_angle_beta 111.83
_cell_angle_gamma 90.00
_symmetry_space_group_name_H-M 'P 1'
_symmetry_Int_Tables_number 1
_symmetry_space_group_name_Hall 'P 1'
loop_
_atom_site_label
_atom_site_type_symbol
_atom_site_fract_x
_atom_site_fract_y
_atom_site_fract_z
Cs1 Cs 0.224 0.250 0.234
Cs2 Cs 0.776 0.750 0.766
Tm1 Tm 0.338 0.750 0.869
Tm2 Tm 0.662 0.250 0.131
Sc1 Sc 0.088 0.250 0.613
Sc2 Sc 0.912 0.750 0.387
S1 S 0.135 0.250 0.865
S2 S 0.198 0.750 0.563
S3 S 0.480 0.750 0.146
S4 S 0.520 0.250 0.854
S5 S 0.802 0.250 0.437
S6 S 0.865 0.750 0.135
# ΔE_f (raw)	-1707	meV/atom

# CsScUS4, optimized geometry, DFT GGA-PBE
data_CsScUS4
_chemical_formula_sum 'Cs2 Sc2 U2 S8'
_cell_length_a 8.311
_cell_length_b 8.311
_cell_length_c 8.311
_cell_angle_alpha 120.09
_cell_angle_beta 116.17
_cell_angle_gamma 93.30
_symmetry_space_group_name_H-M 'P 1'
_symmetry_Int_Tables_number 1
_symmetry_space_group_name_Hall 'P 1'
loop_
_atom_site_label
_atom_site_type_symbol
_atom_site_fract_x
_atom_site_fract_y
_atom_site_fract_z
Cs1 Cs 0.394 0.144 0.250
Cs2 Cs 0.606 0.856 0.750
Sc1 Sc 0.000 0.000 0.500
Sc2 Sc 0.000 0.500 0.000
U1 U 0.000 0.500 0.500
U2 U 0.500 0.500 0.000
S1 S 0.169 0.732 0.437
S2 S 0.204 0.268 0.937
S3 S 0.230 0.281 0.551
S4 S 0.230 0.679 0.949
S5 S 0.770 0.321 0.051
S6 S 0.770 0.719 0.449
S7 S 0.796 0.732 0.063
S8 S 0.831 0.268 0.563
# ΔE_f (raw)	-1427	meV/atom

# Cs3ScU2S6, optimized geometry, DFT GGA-PBE
data_Cs3ScU2S6
_chemical_formula_sum 'Cs3 Sc1 U2 S6'
_cell_length_a 6.984
_cell_length_b 6.984
_cell_length_c 8.416
_cell_angle_alpha 97.95
_cell_angle_beta 97.95
_cell_angle_gamma 120.00
_symmetry_space_group_name_H-M 'P 1'
_symmetry_Int_Tables_number 1
_symmetry_space_group_name_Hall 'P 1'
loop_
_atom_site_label
_atom_site_type_symbol
_atom_site_fract_x
_atom_site_fract_y
_atom_site_fract_z
Cs1 Cs 0.000 0.000 0.000
Cs2 Cs 0.333 0.667 0.000
Cs3 Cs 0.667 0.333 0.000
Sc1 Sc 0.500 0.500 0.500
U1 U 0.167 0.833 0.500
U2 U 0.833 0.167 0.500
S1 S 0.116 0.440 0.321
S2 S 0.236 0.236 0.680
S3 S 0.440 0.116 0.321
S4 S 0.560 0.884 0.679
S5 S 0.764 0.764 0.320
S6 S 0.884 0.560 0.679
# ΔE_f (raw)	-1442	meV/atom

# Cs3Sc2US6, optimized geometry, DFT GGA-PBE
data_Cs3Sc2US6
_chemical_formula_sum 'Cs3 Sc2 U1 S6'
_cell_length_a 6.887
_cell_length_b 6.887
_cell_length_c 8.342
_cell_angle_alpha 97.91
_cell_angle_beta 97.91
_cell_angle_gamma 120.00
_symmetry_space_group_name_H-M 'P 1'
_symmetry_Int_Tables_number 1
_symmetry_space_group_name_Hall 'P 1'
loop_
_atom_site_label
_atom_site_type_symbol
_atom_site_fract_x
_atom_site_fract_y
_atom_site_fract_z
Cs1 Cs 0.000 0.000 0.000
Cs2 Cs 0.333 0.667 0.000
Cs3 Cs 0.667 0.333 0.000
Sc1 Sc 0.167 0.833 0.500
Sc2 Sc 0.833 0.167 0.500
U1 U 0.500 0.500 0.500
S1 S 0.098 0.441 0.324
S2 S 0.215 0.215 0.676
S3 S 0.441 0.098 0.324
S4 S 0.559 0.902 0.676
S5 S 0.785 0.785 0.324
S6 S 0.902 0.559 0.676
# ΔE_f (raw)	-1547	meV/atom

# Cs2ScZn2S4, optimized geometry, DFT GGA-PBE
data_Cs2ScZn2S4
_chemical_formula_sum 'Cs2 Sc1 Zn2 S4'
_cell_length_a 8.207
_cell_length_b 8.207
_cell_length_c 8.291
_cell_angle_alpha 111.47
_cell_angle_beta 111.47
_cell_angle_gamma 27.23
_symmetry_space_group_name_H-M 'P 1'
_symmetry_Int_Tables_number 1
_symmetry_space_group_name_Hall 'P 1'
loop_
_atom_site_label
_atom_site_type_symbol
_atom_site_fract_x
_atom_site_fract_y
_atom_site_fract_z
Cs1 Cs 0.130 0.130 0.065
Cs2 Cs 0.870 0.870 0.935
Sc1 Sc 0.000 0.000 0.500
Zn1 Zn 0.324 0.324 0.481
Zn2 Zn 0.676 0.676 0.519
S1 S 0.175 0.175 0.688
S2 S 0.472 0.472 0.694
S3 S 0.528 0.528 0.306
S4 S 0.825 0.825 0.312
# ΔE_f (raw)	-1105	meV/atom

# Cs2ZrSc2S6, optimized geometry, DFT GGA-PBE
data_Cs2ZrSc2S6
_chemical_formula_sum 'Cs2 Zr1 Sc2 S6'
_cell_length_a 6.568
_cell_length_b 6.568
_cell_length_c 8.506
_cell_angle_alpha 97.46
_cell_angle_beta 97.46
_cell_angle_gamma 120.01
_symmetry_space_group_name_H-M 'P 1'
_symmetry_Int_Tables_number 1
_symmetry_space_group_name_Hall 'P 1'
loop_
_atom_site_label
_atom_site_type_symbol
_atom_site_fract_x
_atom_site_fract_y
_atom_site_fract_z
Cs1 Cs 0.167 0.833 0.000
Cs2 Cs 0.833 0.167 0.000
Zr1 Zr 0.000 0.000 0.500
Sc1 Sc 0.333 0.667 0.500
Sc2 Sc 0.667 0.333 0.500
S1 S 0.059 0.389 0.673
S2 S 0.274 0.274 0.328
S3 S 0.389 0.059 0.673
S4 S 0.611 0.941 0.327
S5 S 0.726 0.726 0.672
S6 S 0.941 0.611 0.327
# ΔE_f (raw)	-1712	meV/atom

# CsSe3S3, optimized geometry, DFT GGA-PBE
data_CsSe3S3
_chemical_formula_sum 'Cs2 Se6 S6'
_cell_length_a 10.242
_cell_length_b 10.242
_cell_length_c 10.242
_cell_angle_alpha 44.80
_cell_angle_beta 44.80
_cell_angle_gamma 44.80
_symmetry_space_group_name_H-M 'P 1'
_symmetry_Int_Tables_number 1
_symmetry_space_group_name_Hall 'P 1'
loop_
_atom_site_label
_atom_site_type_symbol
_atom_site_fract_x
_atom_site_fract_y
_atom_site_fract_z
Cs1 Cs 0.148 0.148 0.148
Cs2 Cs 0.852 0.852 0.852
Se1 Se 0.131 0.134 0.600
Se2 Se 0.134 0.600 0.131
Se3 Se 0.400 0.869 0.866
Se4 Se 0.600 0.131 0.134
Se5 Se 0.866 0.400 0.869
Se6 Se 0.869 0.866 0.400
S1 S 0.058 0.585 0.589
S2 S 0.411 0.942 0.415
S3 S 0.415 0.411 0.942
S4 S 0.585 0.589 0.058
S5 S 0.589 0.058 0.585
S6 S 0.942 0.415 0.411
# ΔE_f (raw)	-168	meV/atom

# Cs2Se2S5, optimized geometry, DFT GGA-PBE
data_Cs2Se2S5
_chemical_formula_sum 'Cs2 Se2 S5'
_cell_length_a 8.059
_cell_length_b 8.059
_cell_length_c 8.634
_cell_angle_alpha 110.08
_cell_angle_beta 110.08
_cell_angle_gamma 36.08
_symmetry_space_group_name_H-M 'P 1'
_symmetry_Int_Tables_number 1
_symmetry_space_group_name_Hall 'P 1'
loop_
_atom_site_label
_atom_site_type_symbol
_atom_site_fract_x
_atom_site_fract_y
_atom_site_fract_z
Cs1 Cs 0.072 0.072 0.319
Cs2 Cs 0.928 0.928 0.681
Se1 Se 0.350 0.350 0.070
Se2 Se 0.650 0.650 0.930
S1 S 0.171 0.171 0.011
S2 S 0.406 0.406 0.337
S3 S 0.500 0.500 0.000
S4 S 0.594 0.594 0.663
S5 S 0.829 0.829 0.989
# ΔE_f (raw)	-280	meV/atom

# Cs3SeS3, optimized geometry, DFT GGA-PBE
data_Cs3SeS3
_chemical_formula_sum 'Cs6 Se2 S6'
_cell_length_a 10.412
_cell_length_b 10.412
_cell_length_c 6.964
_cell_angle_alpha 90.00
_cell_angle_beta 90.00
_cell_angle_gamma 119.77
_symmetry_space_group_name_H-M 'P 1'
_symmetry_Int_Tables_number 1
_symmetry_space_group_name_Hall 'P 1'
loop_
_atom_site_label
_atom_site_type_symbol
_atom_site_fract_x
_atom_site_fract_y
_atom_site_fract_z
Cs1 Cs 0.186 0.814 0.750
Cs2 Cs 0.187 0.373 0.750
Cs3 Cs 0.373 0.187 0.250
Cs4 Cs 0.627 0.813 0.750
Cs5 Cs 0.813 0.627 0.250
Cs6 Cs 0.814 0.186 0.250
Se1 Se 0.333 0.667 0.250
Se2 Se 0.667 0.333 0.750
S1 S 0.200 0.800 0.250
S2 S 0.201 0.401 0.250
S3 S 0.401 0.201 0.750
S4 S 0.599 0.799 0.250
S5 S 0.799 0.599 0.750
S6 S 0.800 0.200 0.750
# ΔE_f (raw)	-663	meV/atom

# CsSeS, optimized geometry, DFT GGA-PBE
data_CsSeS
_chemical_formula_sum 'Cs2 Se2 S2'
_cell_length_a 4.952
_cell_length_b 6.174
_cell_length_c 8.130
_cell_angle_alpha 73.50
_cell_angle_beta 84.78
_cell_angle_gamma 76.43
_symmetry_space_group_name_H-M 'P 1'
_symmetry_Int_Tables_number 1
_symmetry_space_group_name_Hall 'P 1'
loop_
_atom_site_label
_atom_site_type_symbol
_atom_site_fract_x
_atom_site_fract_y
_atom_site_fract_z
Cs1 Cs 0.112 0.315 0.294
Cs2 Cs 0.888 0.685 0.706
Se1 Se 0.322 0.057 0.886
Se2 Se 0.678 0.943 0.114
S1 S 0.488 0.731 0.340
S2 S 0.512 0.269 0.660
# energy above the lowest structure with this stoichiometry	0.0	meV/atom
# ΔE_f (raw)	-679	meV/atom

# Cs2SeS, optimized geometry, DFT GGA-PBE
data_Cs2SeS
_chemical_formula_sum 'Cs8 Se4 S4'
_cell_length_a 9.031
_cell_length_b 9.675
_cell_length_c 8.857
_cell_angle_alpha 90.00
_cell_angle_beta 90.00
_cell_angle_gamma 90.00
_symmetry_space_group_name_H-M 'P 1'
_symmetry_Int_Tables_number 1
_symmetry_space_group_name_Hall 'P 1'
loop_
_atom_site_label
_atom_site_type_symbol
_atom_site_fract_x
_atom_site_fract_y
_atom_site_fract_z
Cs1 Cs 0.182 0.008 0.188
Cs2 Cs 0.182 0.492 0.188
Cs3 Cs 0.318 0.508 0.688
Cs4 Cs 0.318 0.992 0.688
Cs5 Cs 0.682 0.008 0.312
Cs6 Cs 0.682 0.492 0.312
Cs7 Cs 0.818 0.508 0.812
Cs8 Cs 0.818 0.992 0.812
Se1 Se 0.089 0.250 0.898
Se2 Se 0.411 0.750 0.398
Se3 Se 0.589 0.250 0.602
Se4 Se 0.911 0.750 0.102
S1 S 0.090 0.750 0.920
S2 S 0.410 0.250 0.420
S3 S 0.590 0.750 0.580
S4 S 0.910 0.250 0.080
# energy above the lowest structure with this stoichiometry	9.1	meV/atom
# ΔE_f (raw)	-925	meV/atom

# Cs2SeS4, optimized geometry, DFT GGA-PBE
data_Cs2SeS4
_chemical_formula_sum 'Cs4 Se2 S8'
_cell_length_a 4.379
_cell_length_b 8.585
_cell_length_c 13.411
_cell_angle_alpha 90.00
_cell_angle_beta 95.98
_cell_angle_gamma 90.00
_symmetry_space_group_name_H-M 'P 1'
_symmetry_Int_Tables_number 1
_symmetry_space_group_name_Hall 'P 1'
loop_
_atom_site_label
_atom_site_type_symbol
_atom_site_fract_x
_atom_site_fract_y
_atom_site_fract_z
Cs1 Cs 0.132 0.250 0.104
Cs2 Cs 0.208 0.750 0.357
Cs3 Cs 0.792 0.250 0.643
Cs4 Cs 0.868 0.750 0.896
Se1 Se 0.290 0.750 0.649
Se2 Se 0.710 0.250 0.351
S1 S 0.223 0.250 0.420
S2 S 0.342 0.056 0.823
S3 S 0.342 0.444 0.823
S4 S 0.458 0.750 0.113
S5 S 0.542 0.250 0.887
S6 S 0.658 0.556 0.177
S7 S 0.658 0.944 0.177
S8 S 0.777 0.750 0.580
# energy above the lowest structure with this stoichiometry	0.0	meV/atom
# ΔE_f (raw)	-536	meV/atom